## KSrPb2 (PBEsol)

Data for an optimized crystal structure of KSrPb2.

abc: 5.0011 5.0011 6.2296
angles: 113.67 113.67 90.00
Positions (direct):
K  0.5000  0.5000  0.0000
Pb  0.7500  0.2500  0.5000
Pb  0.2500  0.7500  0.5000
Sr  0.0000  0.0000  0.0000

Relative energy among the computed polymorphs: 0 meV per atom
Symmetry: I4/mmm (139)
D(E_F): 1.9 states/eV/cell
E: -3.0201 eV/atom
ΔH_f (0 K): -277 meV per atom
Size of the total moment: 0.0 Bohr magnetons per cell

## AgP2Br (PBEsol)

Data for an optimized crystal structure of AgP2Br.

abc: 4.5609 4.5609 4.5609
angles: 107.93 110.25 110.25
Positions (direct):
Ag  0.0000  0.5000  0.5000
Br  0.0000  0.0000  0.0000
P  0.5000  0.5000  0.0000
P  0.5000  0.0000  0.5000

Relative energy among the computed polymorphs: 260 meV per atom
Symmetry: I4/mmm (139)
Formation energy from raw total energies: 413 meV/atom
D(E_F): 2.0 states/eV/cell
E: -3.7784 eV/atom
Size of the total moment: 0.0 Bohr magnetons per cell

## ZrPb2Br (PBEsol)

Data for an optimized crystal structure of ZrPb2Br.

abc: 3.4575 3.4575 10.0332
angles: 80.08 80.08 60.00
Positions (direct):
Pb  0.2496  0.2496  0.2513
Pb  0.7504  0.7504  0.7487
Br  0.0000  0.0000  0.0000
Zr  0.5000  0.5000  0.5000

Relative energy among the computed polymorphs: 274 meV per atom
Symmetry: R-3m (166)
Formation energy from raw total energies: -36 meV/atom
D(E_F): 4.1 states/eV/cell
E: -4.7749 eV/atom
Size of the total moment: 0.0 Bohr magnetons per cell

## HgPt4Rh (PBEsol)

Data for an optimized crystal structure of HgPt4Rh.

abc: 5.1961 5.1961 5.1961
angles: 60.00 60.00 60.00
Positions (direct):
Hg  0.0000  0.0000  0.0000
Pt  0.6247  0.6247  0.1259
Pt  0.1259  0.6247  0.6247
Pt  0.6247  0.1259  0.6247
Pt  0.6247  0.6247  0.6247
Rh  0.2500  0.2500  0.2500

Symmetry: F-43m (216)
D(E_F): 7.5 states/eV/cell
E: -5.7974 eV/atom
ΔH_f (0 K): 296 meV per atom
Size of the total moment: 0.8 Bohr magnetons per cell

## MnSbPt (PBEsol)

Data for an optimized crystal structure of MnSbPt.

abc: 4.3381 4.3381 4.3381
angles: 60.00 60.00 60.00
Positions (direct):
Sb  0.0000  0.0000  0.0000
Mn  0.5000  0.5000  0.5000
Pt  0.7500  0.7500  0.7500

Relative energy among the computed polymorphs: 0 meV per atom
Symmetry: F-43m (216)
Formation energy from raw total energies: -270 meV/atom
D(E_F): 0.8 states/eV/cell
E: -7.3641 eV/atom
Size of the total moment: 4.0 Bohr magnetons per cell

## Ba2AlTc (PBEsol)

Data for an optimized crystal structure of Ba2AlTc.

abc: 4.8366 4.8366 5.8593
angles: 114.38 114.38 90.00
Positions (direct):
Al  0.0000  0.0000  0.0000
Ba  0.7500  0.2500  0.5000
Ba  0.2500  0.7500  0.5000
Tc  0.5000  0.5000  0.0000

Symmetry: I4/mmm (139)
D(E_F): 4.6 states/eV/cell
E: -4.1128 eV/atom
ΔH_f (0 K): 801 meV per atom
Size of the total moment: 1.8 Bohr magnetons per cell

## CaB12H12 (PBEsol)

Data for an optimized crystal structure of CaB12H12.

abc: 6.8366 7.0296 10.5173
angles: 90.29 90.60 60.90
Positions (direct):
Ca  0.1701  0.6598  0.2500
Ca  0.8299  0.3402  0.7500
B  0.9220  0.4699  0.1621
B  0.6081  0.4699  0.3379
B  0.0780  0.5301  0.8379
B  0.3919  0.5301  0.6621
B  0.0689  0.1817  0.1604
B  0.7494  0.1817  0.3396
B  0.9311  0.8183  0.8396
B  0.2506  0.8183  0.6604
B  0.6348  0.5602  0.1855
B  0.8050  0.5602  0.3145
B  0.3652  0.4398  0.8145
B  0.1950  0.4398  0.6855
B  0.8682  0.0946  0.1860
B  0.0372  0.0946  0.3140
B  0.1318  0.9054  0.8140
B  0.9628  0.9054  0.6860
B  0.7979  0.3266  0.0914
B  0.8755  0.3266  0.4086
B  0.2021  0.6734  0.9086
B  0.1245  0.6734  0.5914
B  0.6032  0.3263  0.2004
B  0.0705  0.3263  0.2996
B  0.3968  0.6737  0.7996
B  0.9295  0.6737  0.7004
H  0.9806  0.5746  0.0968
H  0.4448  0.5746  0.4032
H  0.0194  0.4254  0.9032
H  0.5552  0.4254  0.5968
H  0.2328  0.0808  0.0970
H  0.6863  0.0808  0.4030
H  0.7672  0.9192  0.9030
H  0.3137  0.9192  0.5970
H  0.4878  0.7285  0.1414
H  0.7837  0.7285  0.3586
H  0.5122  0.2715  0.8586
H  0.2163  0.2715  0.6414
H  0.8814  0.9324  0.1361
H  0.1862  0.9324  0.3639
H  0.1186  0.0676  0.8639
H  0.8138  0.0676  0.6361
H  0.7655  0.3259  0.9784
H  0.9086  0.3259  0.5216
H  0.2345  0.6741  0.0216
H  0.0914  0.6741  0.4784
H  0.4369  0.3234  0.1616
H  0.2396  0.3234  0.3384
H  0.5631  0.6766  0.8384
H  0.7604  0.6766  0.6616

Symmetry: C2/c (15)
D(E_F): 0.0 states/eV/cell
E: -5.3539 eV/atom
Size of the total moment: 0.0 Bohr magnetons per cell

## Sc4ZnHg (PBEsol)

Data for an optimized crystal structure of Sc4ZnHg.

abc: 5.6573 5.6573 5.6573
angles: 60.00 60.00 60.00
Positions (direct):
Hg  0.0000  0.0000  0.0000
Sc  0.8746  0.3751  0.3751
Sc  0.3751  0.3751  0.3751
Sc  0.3751  0.3751  0.8746
Sc  0.3751  0.8746  0.3751
Zn  0.7500  0.7500  0.7500

Symmetry: F-43m (216)
D(E_F): 6.5 states/eV/cell
E: -4.5142 eV/atom
ΔH_f (0 K): 247 meV per atom
Size of the total moment: 0.0 Bohr magnetons per cell

## Li2ZrPb (PBEsol)

Data for an optimized crystal structure of Li2ZrPb.

abc: 3.0800 4.1515 6.5356
angles: 90.00 90.00 90.00
Positions (direct):
Li  0.0000  0.0000  0.0244
Li  0.5000  0.5000  0.2459
Pb  0.0000  0.0000  0.4872
Zr  0.5000  0.5000  0.7426

Symmetry: Pmm2 (25)
D(E_F): 2.6 states/eV/cell
E: -4.2742 eV/atom
ΔH_f (0 K): -19 meV per atom
Size of the total moment: 0.0 Bohr magnetons per cell

## Eu3P4 (PBEsol)

Data for an optimized crystal structure of Eu3P4.

abc: 5.5083 7.3738 8.6687
angles: 83.18 71.48 68.07
Positions (direct):
Eu  0.0081  0.5000  0.5000
Eu  0.2581  0.0000  0.0000
Eu  0.5826  0.9981  0.3332
Eu  0.9140  0.0019  0.6668
Eu  0.3307  0.5019  0.8332
Eu  0.6659  0.4981  0.1668
P  0.3304  0.1732  0.6616
P  0.1652  0.8268  0.3384
P  0.2536  0.3268  0.1616
P  0.7420  0.6732  0.8384
P  0.4213  0.6715  0.5010
P  0.5939  0.3285  0.4990
P  0.8428  0.8285  0.0010
P  0.6724  0.1715  0.9990

Symmetry: Fdd2 (43)
D(E_F): 34.9 states/eV/cell
E: -8.9606 eV/atom
ΔH_f (0 K): -1124 meV per atom
Size of the total moment: 41.7 Bohr magnetons per cell

## LiTl5 (PBEsol)

Data for an optimized crystal structure of LiTl5.

abc: 3.5715 5.3509 8.5484
angles: 90.00 102.06 90.00
Positions (direct):
Tl  0.3346  0.0000  0.6692
Tl  0.6579  0.0000  0.3158
Tl  0.4522  0.5000  0.9045
Tl  0.7825  0.5000  0.5649
Tl  0.1118  0.5000  0.2236
Li  0.9943  0.0000  0.9887

Relative energy among the computed polymorphs: 18 meV per atom
Symmetry: Amm2 (38)
D(E_F): 2.4 states/eV/cell
E: -2.5719 eV/atom
ΔH_f (0 K): -52 meV per atom
Size of the total moment: 0.0 Bohr magnetons per cell

## SiTeBr2 (PBEsol)

Data for an optimized crystal structure of SiTeBr2.

abc: 5.0276 5.0276 5.0276
angles: 60.00 60.00 60.00
Positions (direct):
Si  0.5000  0.5000  0.5000
Te  0.7500  0.7500  0.7500
Br  0.0000  0.0000  0.0000
Br  0.2500  0.2500  0.2500

Relative energy among the computed polymorphs: 417 meV per atom
Symmetry: F-43m (216)
Formation energy from raw total energies: 283 meV/atom
D(E_F): 3.3 states/eV/cell
E: -2.9702 eV/atom
Size of the total moment: 0.0 Bohr magnetons per cell

## MgMo2O7 (PBEsol)

Data for an optimized crystal structure of MgMo2O7.

abc: 5.7137 8.1521 13.7182
angles: 97.81 90.00 90.00
Positions (direct):
Mg  0.1286  0.1039  0.0905
Mg  0.6286  0.3961  0.4095
Mg  0.8714  0.8961  0.9095
Mg  0.3714  0.6039  0.5905
Mo  0.3651  0.1661  0.8743
Mo  0.1349  0.6661  0.3743
Mo  0.6349  0.8339  0.1257
Mo  0.8651  0.3339  0.6257
Mo  0.6271  0.3835  0.1356
Mo  0.1271  0.1165  0.3644
Mo  0.3729  0.6165  0.8644
Mo  0.8729  0.8835  0.6356
O  0.6777  0.8925  0.2477
O  0.1777  0.6075  0.2523
O  0.3223  0.1075  0.7523
O  0.8223  0.3925  0.7477
O  0.8660  0.9264  0.0648
O  0.3660  0.5736  0.4352
O  0.1340  0.0736  0.9352
O  0.6340  0.4264  0.5648
O  0.3707  0.9194  0.0971
O  0.8707  0.5806  0.4029
O  0.6293  0.0806  0.9029
O  0.1293  0.4194  0.5971
O  0.1053  0.7707  0.5764
O  0.6053  0.7293  0.9236
O  0.8947  0.2293  0.4236
O  0.3947  0.2707  0.0764
O  0.8888  0.8732  0.7602
O  0.3888  0.6268  0.7398
O  0.1112  0.1268  0.2398
O  0.6112  0.3732  0.2602
O  0.6280  0.6002  0.1076
O  0.1170  0.7113  0.9080
O  0.3830  0.2113  0.4080
O  0.8830  0.2887  0.0920
O  0.8720  0.1002  0.6076
O  0.3720  0.3998  0.8924
O  0.1280  0.8998  0.3924
O  0.6170  0.7887  0.5920

Symmetry: P2_1/c (14)
Formation energy from raw total energies: -2158 meV/atom
D(E_F): 0.0 states/eV/cell
E: -8.3575 eV/atom
Size of the total moment: 0.0 Bohr magnetons per cell

## Cd3Rh (PBEsol)

Data for an optimized crystal structure of Cd3Rh.

abc: 4.1192 4.1192 4.1192
angles: 90.00 90.00 90.00
Positions (direct):
Rh  0.5000  0.5000  0.5000
Cd  0.0000  0.0000  0.5000
Cd  0.0000  0.5000  0.0000
Cd  0.5000  0.0000  0.0000

Symmetry: Pm-3m (221)
D(E_F): 2.4 states/eV/cell
E: -3.0311 eV/atom
ΔH_f (0 K): -99 meV per atom
Size of the total moment: 0.0 Bohr magnetons per cell

## FeRe2Cl (PBEsol)

Data for an optimized crystal structure of FeRe2Cl.

abc: 2.7385 2.7385 8.6819
angles: 90.00 90.00 119.05
Positions (direct):
Re  0.0000  0.0000  0.2402
Re  0.0000  0.0000  0.7598
Fe  0.5000  0.5000  0.0000
Cl  0.5000  0.5000  0.5000

Relative energy among the computed polymorphs: 239 meV per atom
Symmetry: Cmmm (65)
Formation energy from raw total energies: 723 meV/atom
D(E_F): 4.6 states/eV/cell
E: -8.6859 eV/atom
Size of the total moment: 2.3 Bohr magnetons per cell

## Mn2W (PBEsol)

Data for an optimized crystal structure of Mn2W.

abc: 4.6707 4.6707 4.6707
angles: 60.00 60.00 60.00
Positions (direct):
Mn  0.1250  0.6250  0.6250
Mn  0.6250  0.6250  0.6250
Mn  0.6250  0.6250  0.1250
Mn  0.6250  0.1250  0.6250
W  0.0000  0.0000  0.0000
W  0.2500  0.2500  0.2500

Relative energy among the computed polymorphs: 14 meV per atom
Symmetry: Fd-3m (227)
D(E_F): 7.6 states/eV/cell
E: -11.1786 eV/atom
ΔH_f (0 K): -69 meV per atom
Size of the total moment: 0.0 Bohr magnetons per cell

## CoAgHg2 (PBEsol)

Data for an optimized crystal structure of CoAgHg2.

abc: 2.9461 2.9461 9.4714
angles: 81.05 81.05 60.00
Positions (direct):
Co  0.2475  0.2475  0.2574
Hg  0.9896  0.9896  0.0311
Hg  0.7543  0.7543  0.7371
Ag  0.5085  0.5085  0.4744

Relative energy among the computed polymorphs: 105 meV per atom
Symmetry: R3m (160)
D(E_F): 3.2 states/eV/cell
E: -2.6869 eV/atom
ΔH_f (0 K): 359 meV per atom
Size of the total moment: 1.7 Bohr magnetons per cell

## Li11Cr3Fe3O16 (PBEsol)

Data for an optimized crystal structure of Li11Cr3Fe3O16.

abc: 5.6803 5.7344 9.7217
angles: 94.56 89.99 119.69
Positions (direct):
Cr  0.1391  0.7763  0.2171
Cr  0.6379  0.7763  0.2171
Cr  0.8432  0.6861  0.7152
Fe  0.3536  0.1864  0.7114
Fe  0.8332  0.1864  0.7114
Fe  0.1397  0.2787  0.2157
O  0.8101  0.6195  0.1127
O  0.5267  0.5234  0.8212
O  0.2803  0.0855  0.1082
O  0.0253  0.0502  0.8142
O  0.6674  0.3345  0.5958
O  0.9970  0.5234  0.8212
O  0.5293  0.0583  0.8206
O  0.1628  0.8412  0.6021
O  0.8059  0.0855  0.1082
O  0.4740  0.9474  0.3275
O  0.6789  0.8412  0.6021
O  0.9975  0.4671  0.3270
O  0.2964  0.5921  0.1089
O  0.4702  0.4671  0.3270
O  0.1575  0.3146  0.6076
O  0.9859  0.9712  0.3313
Li  0.9554  0.9098  0.9921
Li  0.3743  0.1741  0.4375
Li  0.6962  0.3924  0.9447
Li  0.6406  0.2806  0.2067
Li  0.7919  0.5833  0.4402
Li  0.8003  0.1741  0.4375
Li  0.3283  0.6561  0.4682
Li  0.3438  0.6873  0.7169
Li  0.4583  0.9155  0.9935
Li  0.1998  0.3995  0.9287
Li  0.9937  0.9869  0.5204

Symmetry: Cm (8)
Formation energy from raw total energies: -1805 meV/atom
D(E_F): 18.0 states/eV/cell
E: -6.7514 eV/atom
Size of the total moment: 12.3 Bohr magnetons per cell

## Rb2CuBiBr6 (PBEsol)

Data for an optimized crystal structure of Rb2CuBiBr6.

abc: 7.6655 7.6655 7.6655
angles: 60.00 60.00 60.00
Positions (direct):
Rb  0.7500  0.7500  0.7500
Rb  0.2500  0.2500  0.2500
Cu  0.5000  0.5000  0.5000
Bi  0.0000  0.0000  0.0000
Br  0.7375  0.2625  0.2625
Br  0.7375  0.7375  0.2625
Br  0.2625  0.7375  0.7375
Br  0.7375  0.2625  0.7375
Br  0.2625  0.7375  0.2625
Br  0.2625  0.2625  0.7375

Symmetry: Fm-3m (225)
Formation energy from raw total energies: -1032 meV/atom
E: -3.2207 eV/atom
Size of the total moment: 0.0 Bohr magnetons per cell

## Y5Ga3 (PBEsol)

Data for an optimized crystal structure of Y5Ga3.

abc: 6.4590 8.4952 8.4952
angles: 120.00 90.00 90.00
Positions (direct):
Y  0.5000  0.3333  0.6667
Y  0.0000  0.6667  0.3333
Y  0.5000  0.6667  0.3333
Y  0.0000  0.3333  0.6667
Y  0.2500  0.0000  0.7555
Y  0.7500  0.7555  0.7555
Y  0.7500  0.2445  0.0000
Y  0.2500  0.7555  0.0000
Y  0.2500  0.2445  0.2445
Y  0.7500  0.0000  0.2445
Ga  0.2500  0.0000  0.4007
Ga  0.7500  0.4007  0.4007
Ga  0.7500  0.5993  0.0000
Ga  0.2500  0.4007  0.0000
Ga  0.2500  0.5993  0.5993
Ga  0.7500  0.0000  0.5993

Symmetry: P6_3/mcm (193)
D(E_F): 24.9 states/eV/cell
E: -6.0413 eV/atom
ΔH_f (0 K): -525 meV per atom
Size of the total moment: 0.0 Bohr magnetons per cell